A relaxed structure of Sm2HoTh3Se6, computed with GGA-PBE.

Properties
The crystal system is monoclinic. Its formation energy from raw total energies is -1.650 eV/atom.

Lattice parameters (Å, degrees): 7.1089 12.1590 7.4743 90.00 108.01 90.00
Last column: nearest neighbours and their distance in Å.
Space group C2/m (No. 12)
Inequivalent atoms, fractional coordinates:
Sm 0.0000 0.1656 0.0000  6 Se 2.92-2.93
Ho 0.0000 0.5000 0.0000  6 Se 2.85-2.88
Th 0.0000 0.0000 0.5000  6 Se 2.99-3.02
Th 0.0000 0.3286 0.5000  6 Se 2.99-3.01
Se 0.2418 0.3368 0.2369  1 Ho 2.85, 2 Sm 2.92, 3 Th 2.99-3.01
Se 0.2446 0.5000 0.7568  1 Ho 2.88, 2 Sm 2.93, 3 Th 3.00-3.02

=====

A relaxed structure of Sm4HoTh3Se8, computed with GGA-PBE.

Properties
The crystal system is trigonal. Its formation energy from raw total energies is -1.692 eV/atom.

Lattice parameters (Å, degrees): 8.2863 8.2863 20.7044 90.00 90.00 120.00
Last column: nearest neighbours and their distance in Å.
Space group R-3m (No. 166, hexagonal axes)
Inequivalent atoms, fractional coordinates:
Sm 0.0000 0.0000 0.0000  6 Se 2.99
Sm 0.0000 0.5000 0.0000  6 Se 2.92-2.93
Ho 0.0000 0.0000 0.5000  6 Se 2.91
Th 0.0000 0.5000 0.5000  6 Se 2.97-2.98
Se 0.0000 0.0000 0.2522  3 Sm 2.92, 3 Th 2.98
Se 0.0074 0.5037 0.2500  1 Ho 2.91, 3 Sm 2.93-2.99, 2 Th 2.97